{"formula": "Li5Ag3", "functional": "meta-GGA SCAN", "state": "PBEsol geometry", "formation_enthalpy_0k_ev_per_atom": -0.174, "sg": "No. 65", "cell": [[4.236, 0.000, 0.000], [0.000, 5.473, -0.124], [0.000, -1.091, 5.365]], "species": ["Ag", "Ag", "Ag", "Li", "Li", "Li", "Li", "Li"], "fractional_positions": [[0.000, 0.500, 0.500], [0.500, 0.747, 0.253], [0.500, 0.253, 0.747], [0.000, 0.000, 0.000], [0.000, 0.000, 0.500], [0.000, 0.500, 0.000], [0.500, 0.254, 0.254], [0.500, 0.746, 0.746]]}

{"formula": "Cs2LiCuAg", "functional": "meta-GGA SCAN", "state": "PBEsol geometry", "formation_enthalpy_0k_ev_per_atom": 0.471, "sg": "No. 123", "cell": [[4.803, 0.000, 0.000], [0.000, 6.608, 0.000], [0.000, 0.000, 6.608]], "species": ["Cs", "Cs", "Cu", "Ag", "Li"], "fractional_positions": [[0.000, 0.000, 0.500], [0.000, 0.500, 0.000], [0.500, 0.500, 0.500], [0.500, 0.000, 0.000], [0.000, 0.000, 0.000]]}

{"formula": "LaTeOs2", "functional": "meta-GGA SCAN", "state": "PBEsol geometry", "sg": "No. 123", "e_tot_ev_per_atom": -55.563, "cell": [[-1.358, 0.764, -3.620], [-4.147, -0.270, 1.498], [0.043, 4.325, 0.897]], "species": ["La", "Os", "Os", "Te"], "fractional_positions": [[0.500, 0.000, 0.000], [0.000, 0.000, 0.500], [0.000, 0.500, 0.000], [0.500, 0.500, 0.500]]}

{"formula": "ZrReP2", "functional": "meta-GGA SCAN", "state": "PBEsol geometry", "formation_enthalpy_0k_ev_per_atom": -0.179, "sg": "No. 166", "cell": [[3.032, 0.000, 0.000], [1.516, 2.626, 0.000], [1.516, 0.875, 7.718]], "species": ["P", "P", "Re", "Zr"], "fractional_positions": [[0.241, 0.241, 0.278], [0.759, 0.759, 0.722], [0.500, 0.500, 0.500], [0.000, 0.000, 0.000]]}

{"formula": "MgZnSe2", "functional": "meta-GGA SCAN", "state": "PBEsol geometry", "sg": "No. 65", "e_tot_ev_per_atom": -15.242, "cell": [[3.676, 0.000, 0.000], [-1.838, 3.641, 0.000], [0.000, 0.000, 7.126]], "species": ["Mg", "Se", "Se", "Zn"], "fractional_positions": [[0.500, 0.000, 0.000], [0.000, 0.000, 0.740], [0.000, 0.000, 0.260], [0.500, 0.000, 0.500]]}

{"formula": "Mn2BiO5", "functional": "meta-GGA SCAN", "state": "PBEsol geometry", "sg": "No. 55", "e_tot_ev_per_atom": -20.179, "cell": [[-1.744, 5.433, -0.592], [-4.986, -2.156, -5.099], [-5.789, -1.187, 6.162]], "species": ["Mn", "Mn", "Mn", "Mn", "Mn", "Mn", "Mn", "Mn", "Bi", "Bi", "Bi", "Bi", "O", "O", "O", "O", "O", "O", "O", "O", "O", "O", "O", "O", "O", "O", "O", "O", "O", "O", "O", "O"], "fractional_positions": [[0.758, 0.500, 0.500], [0.242, 0.000, 0.000], [0.242, 0.500, 0.500], [0.758, 0.000, 0.000], [0.000, 0.595, 0.150], [0.000, 0.405, 0.850], [0.000, 0.095, 0.350], [0.000, 0.905, 0.650], [0.500, 0.850, 0.332], [0.500, 0.150, 0.668], [0.500, 0.350, 0.168], [0.500, 0.650, 0.832], [0.500, 0.843, 0.055], [0.500, 0.157, 0.945], [0.500, 0.343, 0.445], [0.500, 0.657, 0.555], [0.000, 0.849, 0.067], [0.000, 0.151, 0.933], [0.000, 0.349, 0.433], [0.000, 0.651, 0.567], [0.753, 0.608, 0.297], [0.753, 0.392, 0.703], [0.247, 0.108, 0.203], [0.247, 0.892, 0.797], [0.247, 0.392, 0.703], [0.247, 0.608, 0.297], [0.753, 0.892, 0.797], [0.753, 0.108, 0.203], [0.784, 0.500, 0.000], [0.216, 0.000, 0.500], [0.216, 0.500, 0.000], [0.784, 0.000, 0.500]]}

{"formula": "ZnPtCl2", "functional": "meta-GGA SCAN", "state": "PBEsol geometry", "de_polymorph_mev_per_atom": 569, "sg": "No. 123", "cell": [[3.019, 0.000, 0.000], [0.000, 3.019, 0.000], [0.000, 0.000, 7.174]], "species": ["Zn", "Pt", "Cl", "Cl"], "fractional_positions": [[0.500, 0.500, 0.500], [0.500, 0.500, 0.000], [0.000, 0.000, 0.719], [0.000, 0.000, 0.281]]}

{"formula": "K2YNi", "functional": "meta-GGA SCAN", "state": "PBEsol geometry", "de_polymorph_mev_per_atom": 0, "formation_enthalpy_0k_ev_per_atom": 0.184, "sg": "No. 6", "cell": [[3.668, 0.000, 0.000], [0.000, 3.906, -0.055], [0.000, -1.823, 10.436]], "species": ["K", "K", "Ni", "Y"], "fractional_positions": [[0.000, 0.908, 0.934], [0.500, 0.596, 0.321], [0.000, 0.741, 0.610], [0.500, 0.254, 0.635]]}

For the records above, the corresponding volume values read 15.475 41.946 19.226 15.364 23.845 11.404 16.351 37.290 Å³/atom.